# Pm2ScSn2 (GGA-PBE, optimized geometry)
data_Pm2ScSn2
_chemical_formula_sum 'Pm8 Sc4 Sn8'
_symmetry_space_group_name_H-M 'C m c 21'
_symmetry_Int_Tables_number 36
_symmetry_space_group_name_Hall 'C 2c -2'
_cell_length_a 5.005
_cell_length_b 17.814
_cell_length_c 6.485
_cell_angle_alpha 90.00
_cell_angle_beta 90.00
_cell_angle_gamma 90.00
loop_
_atom_site_label
_atom_site_fract_x
_atom_site_fract_y
_atom_site_fract_z
_atom_site_occupancy
Pm1 0.000 0.000 0.000 1
Pm2 0.000 0.198 0.251 1
Sc1 0.000 0.400 0.250 1
Sn1 0.000 0.179 0.751 1
Sn2 0.000 0.423 0.750 1
# Energy relative to the elements in eV/atom: -0.63
# D(E_F) in states/eV per atom: 0.784
# Mass density in g/cm³: 6.6
# Uncorrected energy in eV per atom: -5.40